(1)
VASP calculation (PBE) on an optimized crystal structure of Hg3MoN.

```
data_Hg3MoN
_chemical_formula_sum 'Hg3 Mo1 N1'
_cell_length_a 4.7008
_cell_length_b 4.7008
_cell_length_c 4.7008
_cell_angle_alpha 90.00
_cell_angle_beta 90.00
_cell_angle_gamma 90.00
_space_group_name_H-M_alt 'P m -3 m'
_space_group_IT_number 221
_space_group_name_Hall '-P 4 2 3'
loop_
_atom_site_label
_atom_site_type_symbol
_atom_site_fract_x
_atom_site_fract_y
_atom_site_fract_z
Hg1 Hg 0.0000 0.0000 0.5000
Mo1 Mo 0.5000 0.5000 0.5000
N1 N 0.0000 0.0000 0.0000
```

Summary:
Crystal system = cubic
Size of the total moment = 4.14 Bohr magnetons per cell
Uncorrected energy = -12.724 eV for the cell shown
Formation energy (no corrections) = 1.47 eV per atom
DOS(E_F) = 3.34 states/eV per cell

***

(2)
VASP calculation (PBE) on an optimized crystal structure of Mg2Si.

```
data_Mg2Si
_chemical_formula_sum 'Mg8 Si4'
_cell_length_a 5.6683
_cell_length_b 6.8853
_cell_length_c 7.5506
_cell_angle_alpha 71.60
_cell_angle_beta 68.57
_cell_angle_gamma 70.19
_space_group_name_H-M_alt 'P 1'
_space_group_IT_number 1
loop_
_space_group_symop_operation_xyz
'x,y,z'
loop_
_atom_site_label
_atom_site_type_symbol
_atom_site_fract_x
_atom_site_fract_y
_atom_site_fract_z
Mg1 Mg 0.0000 0.0000 0.0000
Mg2 Mg 0.0030 0.6199 0.8293
Mg3 Mg 0.0214 0.6015 0.3725
Mg4 Mg 0.4763 0.8255 0.5992
Mg5 Mg 0.4959 0.2405 0.2236
Mg6 Mg 0.5326 0.7664 0.2148
Mg7 Mg 0.5511 0.0548 0.8409
Mg8 Mg 0.9756 0.0700 0.4207
Si1 Si 0.1989 0.2396 0.6269
Si2 Si 0.3794 0.6311 0.9887
Si3 Si 0.5447 0.4241 0.5178
Si4 Si 0.7222 0.3933 0.7820
```

Summary:
Crystal system = triclinic
Size of the total moment = 0.00 Bohr magnetons per cell
Uncorrected energy = -33.459 eV for the cell shown
Formation energy (no corrections) = 0.08 eV per atom
DOS(E_F) = 3.55 states/eV per cell

***

(3)
VASP calculation (PBE) on an optimized crystal structure of Zr2ScRe.

```
data_Zr2ScRe
_chemical_formula_sum 'Zr2 Sc1 Re1'
_cell_length_a 4.8078
_cell_length_b 4.8078
_cell_length_c 3.4338
_cell_angle_alpha 90.00
_cell_angle_beta 90.00
_cell_angle_gamma 90.00
_space_group_name_H-M_alt 'P 4/m m m'
_space_group_IT_number 123
_space_group_name_Hall '-P 4 2'
loop_
_atom_site_label
_atom_site_type_symbol
_atom_site_fract_x
_atom_site_fract_y
_atom_site_fract_z
Zr1 Zr 0.0000 0.5000 0.0000
Sc1 Sc 0.0000 0.0000 0.5000
Re1 Re 0.5000 0.5000 0.5000
```

Summary:
Crystal system = tetragonal
ΔE_f = -6 kJ/mol of formula units
Size of the total moment = 0.00 Bohr magnetons per cell
Uncorrected energy = -35.936 eV for the cell shown
DOS(E_F) = 3.43 states/eV per cell

***

(4)
VASP calculation (PBE) on an optimized crystal structure of Sr2IrOsPd.

```
data_Sr2IrOsPd
_chemical_formula_sum 'Sr2 Ir1 Os1 Pd1'
_cell_length_a 5.5530
_cell_length_b 5.5530
_cell_length_c 4.6953
_cell_angle_alpha 90.00
_cell_angle_beta 90.00
_cell_angle_gamma 90.00
_space_group_name_H-M_alt 'P 4/m m m'
_space_group_IT_number 123
_space_group_name_Hall '-P 4 2'
loop_
_atom_site_label
_atom_site_type_symbol
_atom_site_fract_x
_atom_site_fract_y
_atom_site_fract_z
Sr1 Sr 0.0000 0.5000 0.0000
Ir1 Ir 0.0000 0.0000 0.5000
Os1 Os 0.5000 0.5000 0.5000
Pd1 Pd 0.5000 0.5000 0.0000
```

Summary:
Crystal system = tetragonal
ΔE_f = 553 kJ/mol of formula units
Size of the total moment = 0.84 Bohr magnetons per cell
Uncorrected energy = -22.914 eV for the cell shown
DOS(E_F) = 7.16 states/eV per cell

***

(5)
VASP calculation (PBE) on an optimized crystal structure of Tl2CoBiN.

```
data_Tl2CoBiN
_chemical_formula_sum 'Tl2 Co1 Bi1 N1'
_cell_length_a 6.1912
_cell_length_b 6.1912
_cell_length_c 4.3088
_cell_angle_alpha 90.00
_cell_angle_beta 90.00
_cell_angle_gamma 90.00
_space_group_name_H-M_alt 'P 4/m m m'
_space_group_IT_number 123
_space_group_name_Hall '-P 4 2'
loop_
_atom_site_label
_atom_site_type_symbol
_atom_site_fract_x
_atom_site_fract_y
_atom_site_fract_z
Tl1 Tl 0.0000 0.5000 0.0000
Co1 Co 0.0000 0.0000 0.5000
Bi1 Bi 0.5000 0.5000 0.0000
N1 N 0.5000 0.5000 0.5000
```

Summary:
Crystal system = tetragonal
Size of the total moment = 2.15 Bohr magnetons per cell
Uncorrected energy = -16.697 eV for the cell shown
Formation energy (no corrections) = 1.47 eV per atom
DOS(E_F) = 2.95 states/eV per cell

***

(6)
VASP calculation (PBE) on an optimized crystal structure of ZnO.

```
data_ZnO
_chemical_formula_sum 'Zn9 O9'
_cell_length_a 3.2826
_cell_length_b 3.2826
_cell_length_c 23.9449
_cell_angle_alpha 90.00
_cell_angle_beta 90.00
_cell_angle_gamma 120.00
_space_group_name_H-M_alt 'R 3 m'
_space_group_IT_number 160
_space_group_name_Hall 'R 3 -2"'
loop_
_atom_site_label
_atom_site_type_symbol
_atom_site_fract_x
_atom_site_fract_y
_atom_site_fract_z
Zn1 Zn 0.0000 0.0000 0.0000
Zn2 Zn 0.0000 0.0000 0.2223
Zn3 Zn 0.0000 0.0000 0.4444
O1 O 0.0000 0.0000 0.1382
O2 O 0.0000 0.0000 0.3605
O3 O 0.0000 0.0000 0.9162
```

Summary:
Crystal system = trigonal
Size of the total moment = 0.00 Bohr magnetons per cell
Uncorrected energy = -81.853 eV for the cell shown
Formation energy (no corrections) = -1.43 eV per atom